(1)
This record from the Alexandria database describes an optimized crystal structure of LiPrLuCo. The functional is PBE.

Results
The value obtained for the calculated total energy is -0.169 Ha/atom. For the density of states at the Fermi level, the calculation gives 0.855 states/eV per atom. The value obtained for the calculated formation energy is -25 meV/atom.

Lattice parameters (Å, degrees): 6.953 6.953 6.953 90.00 90.00 90.00
Space group F-43m (No. 216)
One atom of each set of equivalent atoms:
Li: 0.000 0.000 0.000 x4
Pr: 0.250 0.250 0.250 x4
Lu: 0.250 0.250 0.750 x4
Co: 0.000 0.000 0.500 x4

(2)
This record from the Alexandria database describes an optimized crystal structure of Pm3Nd12Tl. The functional is PBE.

Results
The value obtained for the calculated total energy is -0.171 Ha/atom. For the density of states at the Fermi level, the calculation gives 1.437 states/eV per atom. The value obtained for the calculated formation energy is -31 meV/atom.

Lattice parameters (Å, degrees): 5.118 5.118 20.847 90.00 90.00 90.00
Space group P4/mmm (No. 123)
One atom of each set of equivalent atoms:
Pm: 0.000 0.000 0.000 x1
Pm: 0.000 0.000 0.252 x2
Nd: 0.000 0.500 0.127 x4
Nd: 0.000 0.500 0.379 x4
Nd: 0.500 0.500 0.000 x1
Nd: 0.500 0.500 0.254 x2
Nd: 0.500 0.500 0.500 x1
Tl: 0.000 0.000 0.500 x1

(3)
This record from the Alexandria database describes an optimized crystal structure of CsKCdAu. The functional is PBE.

Results
The value obtained for the energy above the most stable polymorph in this dataset is 116.1 meV per atom. The value obtained for the calculated total energy is -0.060 Ha/atom. For the density of states at the Fermi level, the calculation gives 0.587 states/eV per atom. The value obtained for the calculated formation energy is -94 meV/atom.

Lattice parameters (Å, degrees): 8.701 8.701 8.701 90.00 90.00 90.00
Space group F-43m (No. 216)
One atom of each set of equivalent atoms:
Cs: 0.000 0.000 0.000 x4
K: 0.000 0.000 0.500 x4
Cd: 0.250 0.250 0.750 x4
Au: 0.250 0.250 0.250 x4

(4)
This record from the Alexandria database describes an optimized crystal structure of Li2ZnFeOs. The functional is PBE.

Results
The value obtained for the calculated total energy is -0.149 Ha/atom. For the density of states at the Fermi level, the calculation gives 0.884 states/eV per atom. The value obtained for the calculated formation energy is 917 meV/atom.

Lattice parameters (Å, degrees): 4.344 4.344 4.396 90.00 90.00 90.00
Space group P4/mmm (No. 123)
One atom of each set of equivalent atoms:
Li: 0.000 0.500 0.000 x2
Zn: 0.000 0.000 0.500 x1
Fe: 0.500 0.500 0.000 x1
Os: 0.500 0.500 0.500 x1

(5)
This record from the Alexandria database describes an optimized crystal structure of CsMnTe2. The functional is PBE.

Results
The raw formation energy comes out at -0.377 eV per atom. The value obtained for the calculated total energy is -0.164 Ha/atom. For the density of states at the Fermi level, the calculation gives 0.343 states/eV per atom.

Lattice parameters (Å, degrees): 4.2303 4.2303 9.3841 90.00 90.00 120.00
Space group P3m1 (No. 156)
One atom of each set of equivalent atoms:
Cs: 0.0000 0.0000 0.0000 x1
Mn: 0.6667 0.3333 0.5481 x1
Te: 0.0000 0.0000 0.3944 x1
Te: 0.3333 0.6667 0.7067 x1

(6)
This record from the Alexandria database describes an optimized crystal structure of LaTaRe2. The functional is PBE.

Results
The value obtained for the energy above the most stable polymorph in this dataset is 250.4 meV per atom. The value obtained for the calculated total energy is -0.365 Ha/atom. For the density of states at the Fermi level, the calculation gives 1.268 states/eV per atom. The value obtained for the calculated formation energy is 474 meV/atom.

Lattice parameters (Å, degrees): 6.642 6.642 6.642 90.00 90.00 90.00
Space group F-43m (No. 216)
One atom of each set of equivalent atoms:
La: 0.000 0.000 0.000 x4
Ta: 0.250 0.250 0.250 x4
Re: 0.000 0.000 0.500 x4
Re: 0.250 0.250 0.750 x4

(7)
This record from the Alexandria database describes an optimized crystal structure of TcNiP2Se. The functional is PBE.

Results
The value obtained for the energy above the most stable polymorph in this dataset is 44.7 meV per atom. The raw formation energy comes out at -0.245 eV per atom. The value obtained for the calculated total energy is -0.233 Ha/atom. For the density of states at the Fermi level, the calculation gives 0.481 states/eV per atom.

Lattice parameters (Å, degrees): 7.261 3.244 7.592 90.00 112.61 90.00
Space group Cm (No. 8)
One atom of each set of equivalent atoms:
Tc: 0.000 0.000 0.000 x2
Ni: 0.040 0.500 0.558 x2
P: 0.150 0.500 0.868 x2
P: 0.381 0.500 0.650 x2
Se: 0.398 0.000 0.217 x2

(8)
This record from the Alexandria database describes an optimized crystal structure of PaTlIn. The functional is PBE.

Results
The value obtained for the energy above the most stable polymorph in this dataset is 232.1 meV per atom. The value obtained for the calculated total energy is -0.165 Ha/atom. For the density of states at the Fermi level, the calculation gives 1.698 states/eV per atom. The value obtained for the calculated formation energy is 390 meV/atom.

Lattice parameters (Å, degrees): 5.5729 5.5729 19.1011 90.00 90.00 120.00
Space group R-3m (No. 166, hexagonal axes)
One atom of each set of equivalent atoms:
Pa: 0.0000 0.0000 0.1766 x6
Tl: 0.0000 0.0000 0.3478 x6
In: 0.0000 0.0000 0.0000 x3
In: 0.0000 0.0000 0.5000 x3

(9)
This record from the Alexandria database describes an optimized crystal structure of Si2GeMo. The functional is PBE.

Results
The raw formation energy comes out at 0.698 eV per atom. The value obtained for the calculated total energy is -0.216 Ha/atom. For the density of states at the Fermi level, the calculation gives 0.751 states/eV per atom.

Lattice parameters (Å, degrees): 5.828 5.828 10.483 90.00 90.00 90.00
Space group I-42d (No. 122)
One atom of each set of equivalent atoms:
Si: 0.248 0.250 0.125 x8
Ge: 0.000 0.000 0.500 x4
Mo: 0.000 0.000 0.000 x4

(10)
This record from the Alexandria database describes an optimized crystal structure of Nb6GaRh12. The functional is PBE.

Results
The value obtained for the calculated total energy is -0.308 Ha/atom. For the density of states at the Fermi level, the calculation gives 0.730 states/eV per atom. The value obtained for the calculated formation energy is -401 meV/atom.

Lattice parameters (Å, degrees): 12.2039 12.2039 6.8515 90.00 90.00 120.00
Space group R-3 (No. 148, hexagonal axes)
One atom of each set of equivalent atoms:
Nb: 0.0234 0.7592 0.3511 x18
Ga: 0.0000 0.0000 0.0000 x3
Rh: 0.0112 0.8721 0.6664 x18
Rh: 0.0655 0.5041 0.6696 x18

(11)
This record from the Alexandria database describes an optimized crystal structure of K2CaBr. The functional is PBE.

Results
The value obtained for the energy above the most stable polymorph in this dataset is 88.3 meV per atom. The raw formation energy comes out at -0.643 eV per atom. The value obtained for the calculated total energy is -0.078 Ha/atom. For the density of states at the Fermi level, the calculation gives 0.694 states/eV per atom.

Lattice parameters (Å, degrees): 4.389 7.182 11.997 90.00 90.00 90.00
Space group Cmm2 (No. 35)
One atom of each set of equivalent atoms:
K: 0.000 0.000 0.000 x2
K: 0.000 0.500 0.326 x2
Ca: 0.000 0.000 0.615 x2
Br: 0.000 0.500 0.790 x2

- calculated total energy of number 4 (Li2ZnFeOs)?
  -0.149 Ha/atom